DFT (PBE) results for crystalline BaMg2As at its relaxed geometry.

* DFT formation energy: -277 meV/atom
* space-group type: No. 44

Cell and atoms, written as extended XYZ:
```
4
Lattice="5.7315 -0.0084 0.0045 0.0657 5.7311 -0.0045 -2.0138 -3.7576 3.8308" Properties=species:S:1:pos:R:3 pbc="T T T"
Ba 0.5752 2.5161 1.9132
As 3.3192 3.2766 0.0000
Mg 5.4517 5.3817 0.0000
Mg 3.1328 -0.6253 1.9176
```